Compound: CaAgBi
Source: Alexandria
Functional: GGA-PBE
Structure: relaxed

Structure (CIF):
```
data_CaAgBi
_cell_length_a 4.900
_cell_length_b 8.479
_cell_length_c 7.859
_cell_angle_alpha 90.00
_cell_angle_beta 90.00
_cell_angle_gamma 90.00
_space_group_name_H-M_alt 'C m c 21'
_space_group_IT_number 36
loop_
_space_group_symop_operation_xyz
'x,y,z'
'-x,-y,z+1/2'
'-x,y,z'
'x,-y,z+1/2'
'x+1/2,y+1/2,z'
'-x+1/2,-y+1/2,z+1/2'
'-x+1/2,y+1/2,z'
'x+1/2,-y+1/2,z+1/2'
loop_
_atom_site_label
_atom_site_type_symbol
_atom_site_fract_x
_atom_site_fract_y
_atom_site_fract_z
Ca1 Ca 0.000 0.001 0.000
Ag1 Ag 0.000 0.333 0.317
Bi1 Bi 0.000 0.333 0.716
```

=====

Compound: CaAg4Bi
Source: Alexandria
Functional: GGA-PBE
Structure: relaxed

Structure (CIF):
```
data_CaAg4Bi
_cell_length_a 8.093
_cell_length_b 8.093
_cell_length_c 8.093
_cell_angle_alpha 90.00
_cell_angle_beta 90.00
_cell_angle_gamma 90.00
_space_group_name_H-M_alt 'F -4 3 m'
_space_group_IT_number 216
_space_group_name_Hall 'F -4 2 3'
loop_
_atom_site_label
_atom_site_type_symbol
_atom_site_fract_x
_atom_site_fract_y
_atom_site_fract_z
Ca1 Ca 0.000 0.000 0.000
Ag1 Ag 0.125 0.125 0.375
Bi1 Bi 0.250 0.250 0.750
```

=====

Compound: Ca6AgBi2
Source: Alexandria
Functional: GGA-PBE
Structure: relaxed

Structure (CIF):
```
data_Ca6AgBi2
_cell_length_a 7.207
_cell_length_b 8.368
_cell_length_c 12.355
_cell_angle_alpha 90.00
_cell_angle_beta 122.37
_cell_angle_gamma 90.00
_space_group_name_H-M_alt 'P 1 21/c 1'
_space_group_IT_number 14
loop_
_space_group_symop_operation_xyz
'x,y,z'
'-x,-y,-z'
'-x,y+1/2,-z+1/2'
'x,-y+1/2,z+1/2'
loop_
_atom_site_label
_atom_site_type_symbol
_atom_site_fract_x
_atom_site_fract_y
_atom_site_fract_z
Ca1 Ca 0.095 0.031 0.238
Ca2 Ca 0.198 0.685 0.057
Ca3 Ca 0.390 0.176 0.057
Ag1 Ag 0.500 0.000 0.500
Bi1 Bi 0.321 0.119 0.758
```

=====

Compound: Ca2AgBi
Source: Alexandria
Functional: GGA-PBE
Structure: relaxed

Structure (CIF):
```
data_Ca2AgBi
_cell_length_a 6.324
_cell_length_b 6.324
_cell_length_c 16.804
_cell_angle_alpha 90.00
_cell_angle_beta 90.00
_cell_angle_gamma 90.00
_space_group_name_H-M_alt 'I -4 2 d'
_space_group_IT_number 122
_space_group_name_Hall 'I -4 2bw'
loop_
_atom_site_label
_atom_site_type_symbol
_atom_site_fract_x
_atom_site_fract_y
_atom_site_fract_z
Ca1 Ca 0.249 0.250 0.125
Ag1 Ag 0.000 0.000 0.000
Bi1 Bi 0.000 0.000 0.500
```

=====

Compound: CaCdAgBi
Source: Alexandria
Functional: GGA-PBE
Structure: relaxed

Structure (CIF):
```
data_CaCdAgBi
_cell_length_a 7.437
_cell_length_b 7.437
_cell_length_c 7.437
_cell_angle_alpha 90.00
_cell_angle_beta 90.00
_cell_angle_gamma 90.00
_space_group_name_H-M_alt 'F -4 3 m'
_space_group_IT_number 216
_space_group_name_Hall 'F -4 2 3'
loop_
_atom_site_label
_atom_site_type_symbol
_atom_site_fract_x
_atom_site_fract_y
_atom_site_fract_z
Ca1 Ca 0.000 0.000 0.000
Cd1 Cd 0.250 0.250 0.750
Ag1 Ag 0.000 0.000 0.500
Bi1 Bi 0.250 0.250 0.250
```

=====

Compound: CaCeAgBi
Source: Alexandria
Functional: GGA-PBE
Structure: relaxed

Structure (CIF):
```
data_CaCeAgBi
_cell_length_a 7.705
_cell_length_b 7.705
_cell_length_c 7.705
_cell_angle_alpha 90.00
_cell_angle_beta 90.00
_cell_angle_gamma 90.00
_space_group_name_H-M_alt 'F -4 3 m'
_space_group_IT_number 216
_space_group_name_Hall 'F -4 2 3'
loop_
_atom_site_label
_atom_site_type_symbol
_atom_site_fract_x
_atom_site_fract_y
_atom_site_fract_z
Ca1 Ca 0.000 0.000 0.000
Ce1 Ce 0.000 0.000 0.500
Ag1 Ag 0.250 0.250 0.250
Bi1 Bi 0.250 0.250 0.750
```

=====

Q: Which uncorrected energy values were calculated for the entries above? A: -3.470; -3.113; -2.982; -2.800; -2.689; -4.107, in eV/atom.
Q: Which energy relative to the elements values were calculated for the entries above? A: -558; -231; -468; -116; -277; -441, in meV per atom.
Q: Which volume values were calculated for the entries above? A: 27.207; 22.086; 34.965; 42.008; 25.710; 28.592, in A^3/atom.